1.
# DyCrF5

Crystalline DyCrF5 at its relaxed geometry (PBE with a Hubbard U, the Alexandria database).

Unit cell a=5.7307 b=8.9235 c=10.5906 alpha=90.00 beta=90.00 gamma=112.78
Closest atoms and distances in Å follow each position.
Atoms (fractional coordinates):
Dy 0.2852 0.3584 0.7582  6 F 2.16-2.24
Dy 0.2148 0.1416 0.2582  6 F 2.16-2.24
Dy 0.7148 0.6416 0.2418  6 F 2.16-2.24
Dy 0.7852 0.8584 0.7418  6 F 2.16-2.24
Cr 0.7123 0.2070 0.0026  4 F 2.00-2.05
Cr 0.7877 0.2930 0.5026  4 F 2.00-2.05
Cr 0.2877 0.7930 0.9974  4 F 2.00-2.05
Cr 0.2123 0.7070 0.4974  4 F 2.00-2.05
F 0.0058 0.3533 0.8999  1 Cr 2.00, 1 Dy 2.18
F 0.4942 0.1467 0.3999  1 Cr 2.00, 1 Dy 2.18
F 0.9942 0.6467 0.1001  1 Cr 2.00, 1 Dy 2.18
F 0.5058 0.8533 0.6001  1 Cr 2.00, 1 Dy 2.18
F 0.0885 0.4410 0.6077  1 Cr 2.05, 1 Dy 2.24
F 0.4115 0.0590 0.1077  1 Cr 2.05, 1 Dy 2.24
F 0.9115 0.5590 0.3923  1 Cr 2.05, 1 Dy 2.24
F 0.5885 0.9410 0.8923  1 Cr 2.05, 1 Dy 2.24
F 0.0254 0.2311 0.3971  1 Cr 2.00, 1 Dy 2.16
F 0.4746 0.2689 0.8971  1 Cr 2.00, 1 Dy 2.16
F 0.9746 0.7689 0.6029  1 Cr 2.00, 1 Dy 2.16
F 0.5254 0.7311 0.1029  1 Cr 2.00, 1 Dy 2.16
F 0.9479 0.1587 0.1193  1 Cr 2.00, 1 Dy 2.17
F 0.5521 0.3413 0.6193  1 Cr 2.00, 1 Dy 2.17
F 0.0521 0.8413 0.8807  1 Cr 2.00, 1 Dy 2.17
F 0.4479 0.6587 0.3807  1 Cr 2.00, 1 Dy 2.17
F 0.0031 0.1164 0.7047  2 Dy 2.19-2.21
F 0.4969 0.3836 0.2047  2 Dy 2.19-2.21
F 0.9969 0.8836 0.2953  2 Dy 2.19-2.21
F 0.5031 0.6164 0.7953  2 Dy 2.19-2.21

Values from the calculation:
As for the total energy: -6.508 eV per atom. The symmetry is No. 14. Its polymorph energy (0 for the lowest one) is 0.0200 eV/atom. The crystal system is monoclinic. Its spin magnetization is 16.0 Bohr magnetons per cell.



2.
# DyCrF5

Crystalline DyCrF5 at its relaxed geometry (PBE with a Hubbard U, the Alexandria database).

Unit cell a=5.7747 b=5.7747 c=7.3736 alpha=72.70 beta=72.70 gamma=78.18
Closest atoms and distances in Å follow each position.
Atoms (fractional coordinates):
Dy 0.5553 0.4447 0.2500  7 F 2.17-2.32
Dy 0.4447 0.5553 0.7500  7 F 2.17-2.32
Cr 0.0000 0.0000 0.0000  4 F 2.00-2.06
Cr 0.0000 0.0000 0.5000  4 F 2.00-2.06
F 0.7999 0.7232 0.1292  1 Cr 2.00, 1 Dy 2.17
F 0.3174 0.6581 0.4624  2 Dy 2.24-2.32, 1 Cr 2.42
F 0.7232 0.7999 0.6292  1 Cr 2.00, 1 Dy 2.17
F 0.8729 0.1271 0.2500  2 Cr 2.06
F 0.3419 0.6826 0.0376  2 Dy 2.24-2.32, 1 Cr 2.42
F 0.6581 0.3174 0.9624  2 Dy 2.24-2.32, 1 Cr 2.42
F 0.1271 0.8729 0.7500  2 Cr 2.06
F 0.2768 0.2001 0.3708  1 Cr 2.00, 1 Dy 2.17
F 0.6826 0.3419 0.5376  2 Dy 2.24-2.32, 1 Cr 2.42
F 0.2001 0.2768 0.8708  1 Cr 2.00, 1 Dy 2.17

Values from the calculation:
As for the total energy: -6.528 eV per atom. The symmetry is No. 15. Its polymorph energy (0 for the lowest one) is 0.0000 eV/atom. The crystal system is monoclinic. Its spin magnetization is 8.0 Bohr magnetons per cell.



3.
# DyCr2F8

Crystalline DyCr2F8 at its relaxed geometry (PBE with a Hubbard U, the Alexandria database).

Unit cell a=5.1790 b=5.8498 c=5.8498 alpha=58.66 beta=98.25 gamma=98.25
Closest atoms and distances in Å follow each position.
Atoms (fractional coordinates):
Dy 0.0000 0.0000 0.0000  6 F 2.12-2.27
Cr 0.5048 0.7306 0.7306  6 F 1.87-2.07
Cr 0.4952 0.2694 0.2694  6 F 1.87-2.07
F 0.2765 0.3709 0.9087  2 Cr 2.07, 1 Dy 2.27
F 0.7235 0.0913 0.6291  2 Cr 2.07, 1 Dy 2.27
F 0.2641 0.8612 0.8612  1 Cr 1.97, 1 Dy 2.12
F 0.7359 0.1388 0.1388  1 Cr 1.97, 1 Dy 2.12
F 0.2765 0.9087 0.3709  2 Cr 2.07, 1 Dy 2.27
F 0.7235 0.6291 0.0913  2 Cr 2.07, 1 Dy 2.27
F 0.7492 0.6143 0.6143  1 Cr 1.87
F 0.2508 0.3857 0.3857  1 Cr 1.87

Values from the calculation:
As for the total energy: -6.022 eV per atom. The symmetry is No. 12. Its polymorph energy (0 for the lowest one) is 0.2449 eV/atom. The crystal system is monoclinic. Its spin magnetization is 5.0 Bohr magnetons per cell.



4.
# LiDyCrF6

Crystalline LiDyCrF6 at its relaxed geometry (PBE with a Hubbard U, the Alexandria database).

Unit cell a=5.4748 b=5.4748 c=9.0801 alpha=90.00 beta=90.00 gamma=120.00
Closest atoms and distances in Å follow each position.
Atoms (fractional coordinates):
Li 0.0000 0.0000 0.0000  6 F 2.16
Li 0.0000 0.0000 0.5000  6 F 2.16
Dy 0.3333 0.6667 0.2500  6 F 2.21
Dy 0.6667 0.3333 0.7500  6 F 2.21
Cr 0.6667 0.3333 0.2500  6 F 2.07
Cr 0.3333 0.6667 0.7500  6 F 2.07
F 0.6769 0.6573 0.1272  1 Cr 2.07, 1 Li 2.16, 1 Dy 2.21
F 0.9804 0.3231 0.1272  1 Cr 2.07, 1 Li 2.16, 1 Dy 2.21
F 0.3231 0.9804 0.6272  1 Cr 2.07, 1 Li 2.16, 1 Dy 2.21
F 0.0196 0.6769 0.8728  1 Cr 2.07, 1 Li 2.16, 1 Dy 2.21
F 0.3427 0.3231 0.3728  1 Cr 2.07, 1 Li 2.16, 1 Dy 2.21
F 0.9804 0.6573 0.3728  1 Cr 2.07, 1 Li 2.16, 1 Dy 2.21
F 0.6573 0.9804 0.8728  1 Cr 2.07, 1 Li 2.16, 1 Dy 2.21
F 0.6769 0.0196 0.3728  1 Cr 2.07, 1 Li 2.16, 1 Dy 2.21
F 0.0196 0.3427 0.6272  1 Cr 2.07, 1 Li 2.16, 1 Dy 2.21
F 0.3427 0.0196 0.1272  1 Cr 2.07, 1 Li 2.16, 1 Dy 2.21
F 0.6573 0.6769 0.6272  1 Cr 2.07, 1 Li 2.16, 1 Dy 2.21
F 0.3231 0.3427 0.8728  1 Cr 2.07, 1 Li 2.16, 1 Dy 2.21

Values from the calculation:
As for the total energy: -5.813 eV per atom. The symmetry is No. 163. The crystal system is trigonal. Its spin magnetization is 4.0 Bohr magnetons per cell.



5.
# Na2DyCrF8

Crystalline Na2DyCrF8 at its relaxed geometry (PBE with a Hubbard U, the Alexandria database).

Unit cell a=5.0054 b=5.2210 c=6.7071 alpha=90.00 beta=90.00 gamma=91.39
Closest atoms and distances in Å follow each position.
Atoms (fractional coordinates):
Na 0.5000 0.5000 0.7640  6 F 2.28-2.37
Na 0.5000 0.5000 0.2360  6 F 2.28-2.37
Dy 0.0000 0.0000 0.5000  6 F 2.13-2.25
Cr 0.0000 0.0000 0.0000  6 F 1.91-1.99
F 0.1777 0.8237 0.2258  1 Cr 1.99
F 0.7281 0.7359 0.0000  1 Cr 1.91
F 0.8223 0.1763 0.2258  1 Cr 1.99
F 0.8223 0.1763 0.7742  1 Cr 1.99
F 0.2719 0.2641 0.0000  1 Cr 1.91
F 0.1777 0.8237 0.7742  1 Cr 1.99
F 0.6944 0.7080 0.5000  1 Dy 2.13, 2 Na 2.28
F 0.3056 0.2920 0.5000  1 Dy 2.13, 2 Na 2.28

Values from the calculation:
As for the total energy: -5.679 eV per atom. The symmetry is No. 10. The crystal system is monoclinic. Its spin magnetization is 3.0 Bohr magnetons per cell.



6.
# DyCrO4F

Crystalline DyCrO4F at its relaxed geometry (PBE with a Hubbard U, the Alexandria database).

Unit cell a=5.8898 b=5.8898 c=6.7000 alpha=76.91 beta=76.91 gamma=75.67
Closest atoms and distances in Å follow each position.
Atoms (fractional coordinates):
Dy 0.2044 0.2044 0.8955  2 F 2.20-2.22, 4 O 2.32-2.38
Dy 0.7956 0.7956 0.1045  2 F 2.20-2.22, 4 O 2.32-2.38
Cr 0.6509 0.6509 0.7223  4 O 1.63-1.69
Cr 0.3491 0.3491 0.2777  4 O 1.63-1.69
O 0.2599 0.2599 0.5263  1 Cr 1.63
O 0.7401 0.7401 0.4737  1 Cr 1.63
O 0.1173 0.4819 0.1533  1 Cr 1.69
O 0.5308 0.5308 0.2435  1 Cr 1.64
O 0.5181 0.8827 0.8467  1 Cr 1.69
O 0.4819 0.1173 0.1533  1 Cr 1.69
O 0.4692 0.4692 0.7565  1 Cr 1.64
O 0.8827 0.5181 0.8467  1 Cr 1.69
F 0.0133 0.0133 0.1794  2 Dy 2.20-2.22
F 0.9867 0.9867 0.8206  2 Dy 2.20-2.22

Values from the calculation:
As for the total energy: -7.200 eV per atom. The symmetry is No. 12. The crystal system is monoclinic. Its spin magnetization is 0.0 Bohr magnetons per cell.



7.
# RbDyCrF6

Crystalline RbDyCrF6 at its relaxed geometry (PBE with a Hubbard U, the Alexandria database).

Unit cell a=8.1257 b=8.2063 c=7.9541 alpha=121.05 beta=120.72 gamma=90.00
Closest atoms and distances in Å follow each position.
Atoms (fractional coordinates):
Rb 0.8288 0.5788 0.6576  1 F 2.65
Rb 0.1712 0.4212 0.3424  1 F 2.65
Dy 0.5000 0.0000 0.5000  6 F 2.17-2.21
Dy 0.0000 0.0000 0.5000  6 F 2.17-2.21
Cr 0.5000 0.5000 0.0000  6 F 2.07-2.26
Cr 0.5000 0.0000 0.0000  6 F 2.07-2.26
F 0.4133 0.6633 0.8267  2 Cr 2.26
F 0.8304 0.0804 0.6608  2 Dy 2.21
F 0.8084 0.0718 0.2528  1 Cr 2.07, 1 Dy 2.17
F 0.4444 0.6810 0.2528  1 Cr 2.07, 1 Dy 2.17
F 0.4444 0.0718 0.2528  1 Cr 2.07, 1 Dy 2.17
F 0.8084 0.6810 0.2528  1 Cr 2.07, 1 Dy 2.17
F 0.5867 0.3367 0.1733  2 Cr 2.26
F 0.1696 0.9196 0.3392  2 Dy 2.21
F 0.1916 0.9282 0.7472  1 Cr 2.07, 1 Dy 2.17
F 0.5556 0.3190 0.7472  1 Cr 2.07, 1 Dy 2.17
F 0.5556 0.9282 0.7472  1 Cr 2.07, 1 Dy 2.17
F 0.1916 0.3190 0.7472  1 Cr 2.07, 1 Dy 2.17

Values from the calculation:
As for the total energy: -5.962 eV per atom. The symmetry is No. 74. The crystal system is orthorhombic. Its spin magnetization is 8.0 Bohr magnetons per cell.



8.
# DyTl2Cr3F12

Crystalline DyTl2Cr3F12 at its relaxed geometry (PBE with a Hubbard U, the Alexandria database).

Unit cell a=7.6459 b=7.6459 c=7.6459 alpha=60.81 beta=60.81 gamma=60.81
Closest atoms and distances in Å follow each position.
Atoms (fractional coordinates):
Dy 0.0000 0.0000 0.0000  6 F 2.18
Tl 0.5950 0.5950 0.5950  6 F 3.06-3.38
Tl 0.4050 0.4050 0.4050  6 F 3.06-3.38
Cr 0.5000 0.0000 0.0000  6 F 2.00-2.07
Cr 0.0000 0.5000 0.0000  6 F 2.00-2.07
Cr 0.0000 0.0000 0.5000  6 F 2.00-2.07
F 0.3160 0.3160 0.9156  2 Cr 2.07
F 0.9230 0.9230 0.3382  1 Cr 2.00, 1 Dy 2.18
F 0.3382 0.9230 0.9230  1 Cr 2.00, 1 Dy 2.18
F 0.9156 0.3160 0.3160  2 Cr 2.07
F 0.9230 0.3382 0.9230  1 Cr 2.00, 1 Dy 2.18
F 0.3160 0.9156 0.3160  2 Cr 2.07
F 0.6840 0.6840 0.0844  2 Cr 2.07
F 0.0770 0.0770 0.6618  1 Cr 2.00, 1 Dy 2.18
F 0.6618 0.0770 0.0770  1 Cr 2.00, 1 Dy 2.18
F 0.0844 0.6840 0.6840  2 Cr 2.07
F 0.0770 0.6618 0.0770  1 Cr 2.00, 1 Dy 2.18
F 0.6840 0.0844 0.6840  2 Cr 2.07

Values from the calculation:
As for the total energy: -5.772 eV per atom. The symmetry is No. 166. The crystal system is trigonal. Its spin magnetization is 11.0 Bohr magnetons per cell.



Repeat the fifth record exactly.
# Na2DyCrF8

Crystalline Na2DyCrF8 at its relaxed geometry (PBE with a Hubbard U, the Alexandria database).

Unit cell a=5.0054 b=5.2210 c=6.7071 alpha=90.00 beta=90.00 gamma=91.39
Closest atoms and distances in Å follow each position.
Atoms (fractional coordinates):
Na 0.5000 0.5000 0.7640  6 F 2.28-2.37
Na 0.5000 0.5000 0.2360  6 F 2.28-2.37
Dy 0.0000 0.0000 0.5000  6 F 2.13-2.25
Cr 0.0000 0.0000 0.0000  6 F 1.91-1.99
F 0.1777 0.8237 0.2258  1 Cr 1.99
F 0.7281 0.7359 0.0000  1 Cr 1.91
F 0.8223 0.1763 0.2258  1 Cr 1.99
F 0.8223 0.1763 0.7742  1 Cr 1.99
F 0.2719 0.2641 0.0000  1 Cr 1.91
F 0.1777 0.8237 0.7742  1 Cr 1.99
F 0.6944 0.7080 0.5000  1 Dy 2.13, 2 Na 2.28
F 0.3056 0.2920 0.5000  1 Dy 2.13, 2 Na 2.28

Values from the calculation:
As for the total energy: -5.679 eV per atom. The symmetry is No. 10. The crystal system is monoclinic. Its spin magnetization is 3.0 Bohr magnetons per cell.



> Look up the spin magnetization of the first one.

16.0 Bohr magnetons per cell